First-principles (GGA-PBE) data for a relaxed structure of PuU2NiN4, as listed in the Alexandria database.

a = 3.480 Å, b = 5.844 Å, c = 11.271 Å
α = 90.00°, β = 90.00°, γ = 107.32°
Site moments in Bohr magnetons follow the coordinates.
Fractional positions:
1 Pu 0.106 0.212 0.750  5.16
2 Pu 0.894 0.788 0.250  5.16
3 U 0.372 0.743 0.559  1.42
4 U 0.628 0.257 0.059  1.42
5 U 0.628 0.257 0.441  1.42
6 U 0.372 0.743 0.941  1.42
7 Ni 0.838 0.675 0.750  -0.09
8 Ni 0.162 0.325 0.250  -0.09
9 N 0.265 0.530 0.109  -0.09
10 N 0.735 0.470 0.609  -0.09
11 N 0.735 0.470 0.891  -0.09
12 N 0.265 0.530 0.391  -0.09
13 N 0.000 0.000 0.500  -0.12
14 N 0.000 0.000 0.000  -0.12
15 N 0.449 0.898 0.750  -0.10
16 N 0.551 0.102 0.250  -0.10

Properties
Uncorrected energy, eV per atom: -10.587
Fermi-level density of states, states/eV/atom: 1.649
ΔE_f (raw), meV/atom: -1088
Crystal system: orthorhombic
Symmetry: Cmcm, No. 63


First-principles (GGA-PBE) data for a relaxed structure of HgMo2Ru2, as listed in the Alexandria database.

a = 7.685 Å, b = 7.685 Å, c = 2.825 Å
α = 90.00°, β = 90.00°, γ = 90.00°
Fractional positions:
1 Ru 0.165 0.665 0.500
2 Ru 0.665 0.835 0.500
3 Ru 0.835 0.335 0.500
4 Ru 0.335 0.165 0.500
5 Mo 0.377 0.877 0.000
6 Mo 0.877 0.623 0.000
7 Mo 0.623 0.123 0.000
8 Mo 0.123 0.377 0.000
9 Hg 0.000 0.000 0.000
10 Hg 0.500 0.500 0.000

Properties
Uncorrected energy, eV per atom: -7.788
Fermi-level density of states, states/eV/atom: 1.284
Calculated formation energy, eV per atom: 0.315
Crystal system: tetragonal
Symmetry: P4/mbm, No. 127
E above lowest polymorph, eV per atom: 0.092


First-principles (GGA-PBE) data for a relaxed structure of Tl4CuCl5, as listed in the Alexandria database.

a = 6.405 Å, b = 7.596 Å, c = 7.596 Å
α = 79.76°, β = 65.07°, γ = 65.07°
Site moments in Bohr magnetons follow the coordinates.
Fractional positions:
1 Tl 0.413 0.397 0.789  0.00
2 Tl 0.810 0.789 0.603  0.00
3 Tl 0.202 0.211 0.397  0.00
4 Tl 0.599 0.603 0.211  0.00
5 Cu 0.065 0.000 0.000  0.08
6 Cl 0.899 0.336 0.856  0.00
7 Cl 0.235 0.856 0.664  0.00
8 Cl 0.755 0.144 0.336  0.00
9 Cl 0.091 0.664 0.144  0.00
10 Cl 0.441 0.000 0.000  0.00

Properties
Uncorrected energy, eV per atom: -3.114
ΔE_f (raw), meV/atom: -835
Crystal system: tetragonal
Symmetry: I4, No. 79


First-principles (GGA-PBE) data for a relaxed structure of MgTl2Ni2, as listed in the Alexandria database.

a = 7.061 Å, b = 7.061 Å, c = 3.583 Å
α = 90.00°, β = 90.00°, γ = 90.00°
Fractional positions:
1 Ni 0.369 0.869 0.000
2 Ni 0.869 0.631 0.000
3 Ni 0.631 0.131 0.000
4 Ni 0.131 0.369 0.000
5 Tl 0.167 0.667 0.500
6 Tl 0.667 0.833 0.500
7 Tl 0.833 0.333 0.500
8 Tl 0.333 0.167 0.500
9 Mg 0.000 0.000 0.000
10 Mg 0.500 0.500 0.000

Properties
Uncorrected energy, eV per atom: -3.478
Fermi-level density of states, states/eV/atom: 0.194
Calculated formation energy, eV per atom: 0.100
Crystal system: tetragonal
Symmetry: P4/mbm, No. 127
E above lowest polymorph, eV per atom: 0.000


First-principles (GGA-PBE) data for a relaxed structure of Re2PF, as listed in the Alexandria database.

a = 4.123 Å, b = 4.123 Å, c = 4.123 Å
α = 60.00°, β = 60.00°, γ = 60.00°
Fractional positions:
1 Re 0.250 0.250 0.250
2 Re 0.750 0.750 0.750
3 F 0.000 0.000 0.000
4 P 0.500 0.500 0.500

Properties
Uncorrected energy, eV per atom: -7.981
Fermi-level density of states, states/eV/atom: 0.875
ΔE_f (raw), meV/atom: 64
Crystal system: cubic
Symmetry: Fm-3m, No. 225
E above lowest polymorph, eV per atom: 0.000


First-principles (GGA-PBE) data for a relaxed structure of MnTlTe2, as listed in the Alexandria database.

a = 5.987 Å, b = 10.929 Å, c = 3.656 Å
α = 100.20°, β = 91.94°, γ = 97.35°
Fractional positions:
1 Tl 0.584 0.227 0.781
2 Tl 0.093 0.426 0.853
3 Mn 0.404 0.745 0.615
4 Mn 0.662 0.747 0.009
5 Te 0.116 0.757 0.083
6 Te 0.140 0.167 0.227
7 Te 0.695 0.926 0.589
8 Te 0.610 0.564 0.386

Properties
Uncorrected energy, eV per atom: -4.462
Fermi-level density of states, states/eV/atom: 0.453
ΔE_f (raw), meV/atom: -7
Crystal system: triclinic
Symmetry: P1, No. 1


First-principles (GGA-PBE) data for a relaxed structure of La2NdTm3, as listed in the Alexandria database.

a = 7.050 Å, b = 9.083 Å, c = 7.084 Å
α = 101.24°, β = 90.00°, γ = 112.83°
Fractional positions:
1 La 0.314 0.645 0.410
2 La 0.331 0.645 0.910
3 La 0.669 0.355 0.090
4 La 0.686 0.355 0.590
5 Nd 0.732 0.000 0.250
6 Nd 0.268 0.000 0.750
7 Tm 0.730 0.000 0.750
8 Tm 0.270 0.000 0.250
9 Tm 0.872 0.733 0.935
10 Tm 0.139 0.267 0.565
11 Tm 0.861 0.733 0.435
12 Tm 0.128 0.267 0.065

Properties
Uncorrected energy, eV per atom: -4.530
Fermi-level density of states, states/eV/atom: 1.463
Calculated formation energy, eV per atom: 0.143
Crystal system: monoclinic
Symmetry: C2/c, No. 15
E above lowest polymorph, eV per atom: 0.000


First-principles (GGA-PBE) data for a relaxed structure of PmPd6Au4, as listed in the Alexandria database.

a = 6.512 Å, b = 6.512 Å, c = 7.001 Å
α = 117.71°, β = 117.71°, γ = 90.00°
Fractional positions:
1 Pm 0.500 0.500 0.000
2 Pd 0.913 0.402 0.315
3 Pd 0.402 0.913 0.315
4 Pd 0.598 0.598 0.685
5 Pd 0.000 0.500 0.000
6 Pd 0.087 0.087 0.685
7 Pd 0.500 0.000 0.000
8 Au 0.057 0.729 0.787
9 Au 0.943 0.943 0.213
10 Au 0.729 0.057 0.787
11 Au 0.271 0.271 0.213

Properties
Uncorrected energy, eV per atom: -4.498
Fermi-level density of states, states/eV/atom: 0.365
Calculated formation energy, eV per atom: -0.042
Crystal system: tetragonal
Symmetry: I-42m, No. 121


First-principles (GGA-PBE) data for a relaxed structure of Sr3Al5, as listed in the Alexandria database.

a = 6.645 Å, b = 6.645 Å, c = 4.921 Å
α = 90.00°, β = 90.00°, γ = 100.33°
Fractional positions:
1 Sr 0.500 0.500 0.000
2 Sr 0.765 0.235 0.500
3 Sr 0.235 0.765 0.500
4 Al 0.000 0.000 0.000
5 Al 0.000 0.500 0.000
6 Al 0.500 0.000 0.000
7 Al 0.241 0.241 0.500
8 Al 0.759 0.759 0.500

Properties
Uncorrected energy, eV per atom: -2.920
Fermi-level density of states, states/eV/atom: 0.485
Calculated formation energy, eV per atom: 0.049
Crystal system: orthorhombic
Symmetry: Cmmm, No. 65
E above lowest polymorph, eV per atom: 0.111


First-principles (GGA-PBE) data for a relaxed structure of Mn2V2In, as listed in the Alexandria database.

a = 3.769 Å, b = 3.769 Å, c = 6.103 Å
α = 72.01°, β = 72.01°, γ = 90.00°
Site moments in Bohr magnetons follow the coordinates.
Fractional positions:
1 Mn 0.750 0.250 0.500  1.30
2 Mn 0.250 0.750 0.500  1.30
3 In 0.000 0.000 0.000  0.00
4 V 0.377 0.377 0.246  -1.04
5 V 0.623 0.623 0.754  -1.04

Properties
Uncorrected energy, eV per atom: -7.446
Fermi-level density of states, states/eV/atom: 1.015
Calculated formation energy, eV per atom: 0.417
Crystal system: tetragonal
Symmetry: I4/mmm, No. 139


First-principles (GGA-PBE) data for a relaxed structure of NdYBi, as listed in the Alexandria database.

a = 4.292 Å, b = 7.986 Å, c = 13.915 Å
α = 150.63°, β = 90.00°, γ = 105.59°
Fractional positions:
1 Nd 0.500 0.000 0.685
2 Nd 0.500 0.000 0.315
3 Y 0.746 0.492 0.246
4 Y 0.254 0.508 0.754
5 Bi 0.000 0.000 0.860
6 Bi 0.000 0.000 0.140

Properties
Uncorrected energy, eV per atom: -5.609
Fermi-level density of states, states/eV/atom: 1.065
Calculated formation energy, eV per atom: -0.571
Crystal system: orthorhombic
Symmetry: Immm, No. 71


First-principles (GGA-PBE) data for a relaxed structure of Sm3ErGa2, as listed in the Alexandria database.

a = 5.070 Å, b = 6.589 Å, c = 9.593 Å
α = 90.00°, β = 90.00°, γ = 90.00°
Fractional positions:
1 Sm 0.000 0.475 0.953
2 Sm 0.000 0.975 0.047
3 Sm 0.500 0.682 0.178
4 Sm 0.500 0.182 0.822
5 Sm 0.000 0.317 0.332
6 Sm 0.000 0.817 0.668
7 Er 0.500 0.523 0.552
8 Er 0.500 0.023 0.448
9 Ga 0.500 0.707 0.853
10 Ga 0.500 0.207 0.147
11 Ga 0.000 0.296 0.646
12 Ga 0.000 0.796 0.354

Properties
Uncorrected energy, eV per atom: -4.537
Fermi-level density of states, states/eV/atom: 0.989
Calculated formation energy, eV per atom: -0.408
Crystal system: orthorhombic
Symmetry: Pmc2_1, No. 26
E above lowest polymorph, eV per atom: 0.000


First-principles (GGA-PBE) data for a relaxed structure of LiCd8In2, as listed in the Alexandria database.

a = 4.993 Å, b = 7.677 Å, c = 8.323 Å
α = 62.54°, β = 80.73°, γ = 69.55°
Fractional positions:
1 Li 0.500 0.000 0.000
2 Cd 0.844 0.099 0.210
3 Cd 0.844 0.310 0.790
4 Cd 0.301 0.387 0.000
5 Cd 0.500 0.800 0.399
6 Cd 0.500 0.200 0.601
7 Cd 0.699 0.613 0.000
8 Cd 0.156 0.690 0.210
9 Cd 0.156 0.901 0.790
10 In 0.000 0.305 0.390
11 In 0.000 0.695 0.610

Properties
Uncorrected energy, eV per atom: -1.316
Fermi-level density of states, states/eV/atom: 0.346
Calculated formation energy, eV per atom: 0.021
Crystal system: monoclinic
Symmetry: C2/m, No. 12
E above lowest polymorph, eV per atom: 0.000


First-principles (GGA-PBE) data for a relaxed structure of CdMo3, as listed in the Alexandria database.

a = 5.826 Å, b = 5.826 Å, c = 4.643 Å
α = 90.00°, β = 90.00°, γ = 120.00°
Fractional positions:
1 Cd 0.333 0.667 0.250
2 Cd 0.667 0.333 0.750
3 Mo 0.849 0.151 0.250
4 Mo 0.151 0.849 0.750
5 Mo 0.849 0.697 0.250
6 Mo 0.151 0.303 0.750
7 Mo 0.303 0.151 0.250
8 Mo 0.697 0.849 0.750

Properties
Uncorrected energy, eV per atom: -8.017
Fermi-level density of states, states/eV/atom: 0.883
Calculated formation energy, eV per atom: 0.335
Crystal system: hexagonal
Symmetry: P6_3/mmc, No. 194
E above lowest polymorph, eV per atom: 0.116


First-principles (GGA-PBE) data for a relaxed structure of LaPm6Y3Er2, as listed in the Alexandria database.

a = 6.272 Å, b = 6.272 Å, c = 11.946 Å
α = 95.02°, β = 95.02°, γ = 120.00°
Fractional positions:
1 La 0.000 0.000 0.000
2 Pm 0.916 0.582 0.749
3 Pm 0.749 0.749 0.251
4 Pm 0.084 0.418 0.251
5 Pm 0.582 0.916 0.749
6 Pm 0.251 0.251 0.749
7 Pm 0.418 0.084 0.251
8 Y 0.167 0.833 0.500
9 Y 0.833 0.167 0.500
10 Y 0.500 0.500 0.500
11 Er 0.333 0.667 0.000
12 Er 0.667 0.333 0.000

Properties
Uncorrected energy, eV per atom: -5.145
Fermi-level density of states, states/eV/atom: 1.325
Calculated formation energy, eV per atom: 0.017
Crystal system: monoclinic
Symmetry: C2/m, No. 12